Entry 1:
Computed, not measured: a PBEsol-optimized structure of Co2ReMo at the SCAN level of DFT.

```
Co2ReMo
1.0
2.6008 0.0000 0.0000
0.0000 4.1752 0.0000
0.0000 0.0000 4.5204
Re Mo Co
1 1 2
Direct
0.5000 0.5000 0.1937
0.5000 0.0000 0.5532
0.0000 0.0000 0.0410
0.0000 0.5000 0.7122
```

Results
SG   Pmm2
DFT formation energy   0.0880 eV/atom
Relative energy among the computed polymorphs   0.00 eV per formula unit
Crystal system   orthorhombic

***

Entry 2:
Computed, not measured: a PBEsol-optimized structure of SrCoW2 at the SCAN level of DFT.

```
SrCoW2
1.0
-3.0529 0.5561 -0.0347
-1.9834 -2.2748 -0.7222
-2.1853 -2.8247 8.2316
Co Sr W
1 1 2
Direct
0.4853 0.4853 0.5440
0.2443 0.2443 0.2672
0.0165 0.0165 0.9506
0.7539 0.7539 0.7382
```

Results
SG   R3m
DFT formation energy   1.0035 eV/atom
Relative energy among the computed polymorphs   0.93 eV per formula unit
Crystal system   trigonal

***

Entry 3:
Computed, not measured: a PBEsol-optimized structure of CaBi2C2O2 at the SCAN level of DFT.

```
CaBi2C2O2
1.0
-1.1583 2.5624 2.3853
-3.5007 -0.8652 -0.7704
2.3886 -6.9435 5.7686
C Ca Bi O
2 1 2 2
Direct
0.4637 0.4637 0.9274
0.5363 0.5363 0.0726
0.0000 0.0000 0.0000
0.1733 0.1733 0.3466
0.8267 0.8267 0.6534
0.2500 0.7500 0.5000
0.7500 0.2500 0.5000
```

Results
E_form (uncorrected)   -0.05 eV/atom
SG   I4/mmm
Crystal system   tetragonal

***

Entry 4:
Computed, not measured: a PBEsol-optimized structure of LiFePO4 at the SCAN level of DFT.

```
LiFePO4
1.0
4.9753 0.0057 0.0000
-1.8271 4.6277 0.0000
0.0000 0.0000 6.1377
Li Fe P O
2 2 2 8
Direct
0.5000 0.5000 0.5000
0.5000 0.5000 0.0000
0.8196 0.1804 0.7500
0.1804 0.8196 0.2500
0.8543 0.1457 0.2500
0.1457 0.8543 0.7500
0.2512 0.1904 0.7500
0.1904 0.2512 0.2500
0.8096 0.7488 0.7500
0.7488 0.8096 0.2500
0.7435 0.2565 0.0461
0.7435 0.2565 0.4539
0.2565 0.7435 0.5461
0.2565 0.7435 0.9539
```

Results
E_form (uncorrected)   -2.22 eV/atom
SG   Cmcm
Relative energy among the computed polymorphs   0.23 eV per formula unit
Crystal system   orthorhombic

***

Entry 5:
Computed, not measured: a PBEsol-optimized structure of CdTeRu2 at the SCAN level of DFT.

```
CdTeRu2
1.0
2.9967 -0.0162 -0.0247
-1.2599 5.0308 -0.0529
-1.2599 -2.0600 4.5900
Cd Ru Te
1 2 1
Direct
0.5000 0.5000 0.5000
0.0000 0.5000 0.0000
0.0000 0.0000 0.5000
0.5000 0.0000 0.0000
```

Results
E_form (uncorrected)   0.65 eV/atom
SG   C2/m
Relative energy among the computed polymorphs   1.32 eV per formula unit
Crystal system   monoclinic

***

Entry 6:
Computed, not measured: a PBEsol-optimized structure of Tl3Au2 at the SCAN level of DFT.

```
Tl3Au2
1.0
-2.2750 -0.6525 -4.1381
2.8845 -3.3956 1.6954
-4.8863 -2.6044 3.0971
Tl Au
3 2
Direct
0.0000 0.0000 0.0000
0.3333 0.6667 0.3356
0.6667 0.3333 0.6644
0.3333 0.6667 0.8047
0.6667 0.3333 0.1953
```

Results
SG   P-3m1
DFT formation energy   -0.0094 eV/atom
Relative energy among the computed polymorphs   0.14 eV per formula unit
Crystal system   trigonal

***

Entry 7:
Computed, not measured: a PBEsol-optimized structure of AlTcNiCl2 at the SCAN level of DFT.

```
AlTcNiCl2
1.0
4.4917 0.0000 0.0000
0.0000 4.4917 0.0000
0.0000 0.0000 4.8921
Ni Al Tc Cl
1 1 1 2
Direct
0.0000 0.0000 0.5000
0.0000 0.0000 0.0000
0.5000 0.5000 0.5000
0.0000 0.5000 0.0000
0.5000 0.0000 0.0000
```

Results
E_form (uncorrected)   0.77 eV/atom
SG   P4/mmm
Crystal system   tetragonal

***

Entry 8:
Computed, not measured: a PBEsol-optimized structure of Hf2AlCo2 at the SCAN level of DFT.

```
Hf2AlCo2
1.0
3.2543 0.0000 0.0000
0.0000 6.8323 0.0000
0.0000 0.0000 6.8323
Hf Co Al
4 4 2
Direct
0.5000 0.1704 0.6704
0.5000 0.6704 0.8296
0.5000 0.8296 0.3296
0.5000 0.3296 0.1704
0.0000 0.3700 0.8700
0.0000 0.8700 0.6300
0.0000 0.6300 0.1300
0.0000 0.1300 0.3700
0.0000 0.0000 0.0000
0.0000 0.5000 0.5000
```

Results
SG   P4/mbm
DFT formation energy   -0.4094 eV/atom
Crystal system   tetragonal

***

Entry 9:
Computed, not measured: a PBEsol-optimized structure of AgSb2Se2 at the SCAN level of DFT.

```
AgSb2Se2
1.0
3.7669 0.0000 0.0000
0.0000 7.8862 0.0000
0.0000 0.0000 7.8862
Sb Se Ag
4 4 2
Direct
0.5000 0.1646 0.6646
0.5000 0.6646 0.8354
0.5000 0.8354 0.3354
0.5000 0.3354 0.1646
0.0000 0.3461 0.8461
0.0000 0.8461 0.6539
0.0000 0.6539 0.1539
0.0000 0.1539 0.3461
0.0000 0.0000 0.0000
0.0000 0.5000 0.5000
```

Results
E_form (uncorrected)   0.27 eV/atom
SG   P4/mbm
Crystal system   tetragonal

***

Entry 10:
Computed, not measured: a PBEsol-optimized structure of CdGa2Pb at the SCAN level of DFT.

```
CdGa2Pb
1.0
5.0133 0.0000 0.0000
2.5067 4.3417 0.0000
2.5067 1.4472 4.0934
Pb Ga Cd
1 2 1
Direct
0.5000 0.5000 0.5000
0.2500 0.2500 0.2500
0.7500 0.7500 0.7500
0.0000 0.0000 0.0000
```

Results
SG   Fm-3m
DFT formation energy   0.1906 eV/atom
Crystal system   cubic

***

Entry 11:
Computed, not measured: a PBEsol-optimized structure of Sc2TeP at the SCAN level of DFT.

```
Sc2TeP
1.0
-3.0344 -1.5150 -0.6821
0.0040 -0.6183 4.8561
-1.5997 4.6114 0.3743
P Sc Te
1 2 1
Direct
0.5000 0.0000 0.0000
0.0000 0.0000 0.5000
0.0000 0.5000 0.0000
0.5000 0.5000 0.5000
```

Results
E_form (uncorrected)   -0.91 eV/atom
SG   C2/m
Relative energy among the computed polymorphs   2.51 eV per formula unit
Crystal system   monoclinic

***

Entry 12:
Computed, not measured: a PBEsol-optimized structure of NdZrNO2 at the SCAN level of DFT.

```
NdZrNO2
1.0
-3.2983 -4.4193 -1.4547
-0.2199 -1.6853 5.6185
-6.5326 4.6155 1.1287
Nd Zr N O
4 4 4 8
Direct
0.4792 0.5501 0.2564
0.0208 0.0501 0.2436
0.5208 0.4499 0.7436
0.9792 0.9499 0.7564
0.5000 0.0000 0.0000
0.0000 0.5000 0.5000
0.5000 0.0000 0.5000
0.0000 0.5000 0.0000
0.2062 0.7931 0.0596
0.2938 0.2931 0.4404
0.7938 0.2069 0.9404
0.7062 0.7069 0.5596
0.6141 0.9606 0.2500
0.8859 0.4606 0.2500
0.3859 0.0394 0.7500
0.1141 0.5394 0.7500
0.7911 0.2088 0.5643
0.7089 0.7088 0.9357
0.2089 0.7912 0.4357
0.2911 0.2912 0.0643
```

Results
E_form (uncorrected)   -3.05 eV/atom
SG   P2_1/c
Crystal system   monoclinic

***

Entry 13:
Computed, not measured: a PBEsol-optimized structure of ZnCdTc at the SCAN level of DFT.

```
ZnCdTc
1.0
-0.1159 0.6177 2.6304
2.5127 -0.8193 -0.5736
0.5565 6.4771 -2.4485
Cd Tc Zn
1 1 1
Direct
0.0001 0.0001 0.0002
0.3252 0.3252 0.6505
0.6747 0.6747 0.3494
```

Results
SG   Fmm2
DFT formation energy   0.2926 eV/atom
Crystal system   orthorhombic

***

Entry 14:
Computed, not measured: a PBEsol-optimized structure of CoIr2Os at the SCAN level of DFT.

```
CoIr2Os
1.0
2.6713 0.0000 0.0000
0.0000 4.5779 -0.0045
-1.3357 -0.7840 4.3166
Os Ir Co
1 2 1
Direct
0.4981 0.4983 0.9962
0.0022 0.0111 0.0044
0.2492 0.7411 0.4983
0.7505 0.2496 0.5011
```

Results
SG   Cm
DFT formation energy   0.0616 eV/atom
Relative energy among the computed polymorphs   0.18 eV per formula unit
Crystal system   monoclinic

***

Entry 15:
Computed, not measured: a PBEsol-optimized structure of Sr2Tl at the SCAN level of DFT.

```
Sr2Tl
1.0
3.8295 0.0000 0.0000
0.0000 5.6843 0.0000
0.0000 0.0000 5.6843
Sr Tl
2 1
Direct
0.5000 0.0000 0.5000
0.5000 0.5000 0.0000
0.0000 0.0000 0.0000
```

Results
SG   P4/mmm
DFT formation energy   -0.3798 eV/atom
Crystal system   tetragonal

***

Entry 16:
Computed, not measured: a PBEsol-optimized structure of Tb2Pt at the SCAN level of DFT.

```
Tb2Pt
1.0
4.7175 0.0000 0.0000
0.0000 7.0501 0.0000
0.0000 0.0000 8.7096
Tb Pt
8 4
Direct
0.2500 0.8540 0.0822
0.7500 0.1460 0.9178
0.2500 0.3540 0.4178
0.7500 0.6460 0.5822
0.2500 0.9916 0.6697
0.7500 0.0084 0.3303
0.2500 0.4916 0.8303
0.7500 0.5084 0.1697
0.2500 0.2588 0.0913
0.7500 0.7412 0.9087
0.2500 0.7588 0.4087
0.7500 0.2412 0.5913
```

Results
SG   Pnma
DFT formation energy   -1.1563 eV/atom
Crystal system   orthorhombic

***

Entry 17:
Computed, not measured: a PBEsol-optimized structure of SrCdOs2 at the SCAN level of DFT.

```
SrCdOs2
1.0
-0.6584 -0.8924 -4.0418
-4.2475 -2.5240 1.2493
0.3719 5.0165 1.0048
Cd Os Sr
1 2 1
Direct
0.7265 0.2265 0.4529
0.9523 0.9523 0.9046
0.3085 0.8085 0.6169
0.5128 0.5128 0.0255
```

Results
SG   Imm2
DFT formation energy   0.5911 eV/atom
Crystal system   orthorhombic

***

Entry 18:
Computed, not measured: a PBEsol-optimized structure of ZrC3 at the SCAN level of DFT.

```
ZrC3
1.0
2.7223 0.0000 0.0000
1.3611 3.5628 0.0389
1.3611 1.5514 4.0700
C Zr
3 1
Direct
0.5000 0.5000 0.5000
0.3105 0.8989 0.4800
0.6895 0.1011 0.5200
0.0000 0.0000 0.0000
```

Results
SG   C2/m
DFT formation energy   0.5850 eV/atom
Relative energy among the computed polymorphs   0.00 eV per formula unit
Crystal system   monoclinic

***

Entry 19:
Computed, not measured: a PBEsol-optimized structure of CoNi at the SCAN level of DFT.

```
CoNi
1.0
2.4400 0.0000 0.0000
-1.2200 4.5178 0.0032
0.0000 -1.4952 5.6335
Co Ni
3 3
Direct
0.9985 0.9969 0.9990
0.3899 0.7798 0.2782
0.3338 0.6676 0.6672
0.6673 0.3347 0.3325
0.0543 0.1086 0.6103
0.7229 0.4457 0.9462
```

Results
SG   Cm
DFT formation energy   0.0129 eV/atom
Crystal system   monoclinic

***

Entry 20:
Computed, not measured: a PBEsol-optimized structure of BeIrRh at the SCAN level of DFT.

```
BeIrRh
1.0
-0.4511 -0.1978 -2.6973
0.1517 -2.7321 0.1750
-4.4246 1.2610 2.0410
Be Ir Rh
1 1 1
Direct
0.0008 0.0008 0.0016
0.6471 0.6471 0.2942
0.3521 0.3521 0.7042
```

Results
SG   I4mm
DFT formation energy   -0.4361 eV/atom
Crystal system   tetragonal

***

Entry 21:
Computed, not measured: a PBEsol-optimized structure of RbCrW3 at the SCAN level of DFT.

```
RbCrW3
1.0
-4.3478 0.9510 -1.3393
-1.1454 -4.4715 0.5433
-1.1773 0.8383 4.4173
Cr Rb W
1 1 3
Direct
0.0000 0.0000 0.0000
0.5000 0.5000 0.5000
0.0000 0.5000 0.0000
0.0000 0.0000 0.5000
0.5000 0.0000 0.0000
```

Results
SG   Pm-3m
DFT formation energy   2.2385 eV/atom
Relative energy among the computed polymorphs   0.00 eV per formula unit
Crystal system   cubic

***

Entry 22:
Computed, not measured: a PBEsol-optimized structure of Na2BiBPO7 at the SCAN level of DFT.

```
Na2BiBPO7
1.0
-5.1142 1.6118 0.6595
0.5512 -1.0405 6.8175
2.8035 8.9067 1.1327
Na Bi B P O
4 2 2 2 14
Direct
0.7258 0.0060 0.7869
0.7258 0.4940 0.7869
0.2742 0.5060 0.2131
0.2742 0.9940 0.2131
0.1884 0.7500 0.6223
0.8116 0.2500 0.3777
0.2201 0.7500 0.9049
0.7799 0.2500 0.0951
0.2561 0.2500 0.5976
0.7439 0.7500 0.4024
0.7474 0.2500 0.9533
0.0002 0.7500 0.8331
0.4350 0.7500 0.8208
0.1150 0.0724 0.6592
0.1150 0.4276 0.6592
0.7740 0.7500 0.5691
0.5324 0.2500 0.6305
0.4676 0.7500 0.3695
0.2260 0.2500 0.4309
0.8850 0.5724 0.3408
0.8850 0.9276 0.3408
0.5650 0.2500 0.1792
0.9998 0.2500 0.1669
0.2526 0.7500 0.0467
```

Results
E_form (uncorrected)   -2.05 eV/atom
SG   P2_1/m
Crystal system   monoclinic

***

Entry 23:
Computed, not measured: a PBEsol-optimized structure of SbS3N at the SCAN level of DFT.

```
SbS3N
1.0
4.9826 0.0000 0.0000
0.0000 4.9826 0.0000
0.0000 0.0000 4.9826
Sb S N
1 3 1
Direct
0.0000 0.0000 0.0000
0.0000 0.5000 0.0000
0.0000 0.0000 0.5000
0.5000 0.0000 0.0000
0.5000 0.5000 0.5000
```

Results
E_form (uncorrected)   1.52 eV/atom
SG   Pm-3m
Crystal system   cubic

***

Entry 24:
Computed, not measured: a PBEsol-optimized structure of Al2GaFeIr at the SCAN level of DFT.

```
Al2GaFeIr
1.0
4.5037 0.0000 0.0000
0.0000 4.5454 0.0000
0.0000 0.0000 4.5454
Ir Fe Ga Al
1 1 1 2
Direct
0.5000 0.0000 0.0000
0.5000 0.5000 0.5000
0.0000 0.0000 0.0000
0.0000 0.0000 0.5000
0.0000 0.5000 0.0000
```

Results
SG   P4/mmm
DFT formation energy   0.9887 eV/atom
Crystal system   tetragonal

***

Entry 25:
Computed, not measured: a PBEsol-optimized structure of Sr3AgHg at the SCAN level of DFT.

```
Sr3AgHg
1.0
6.0550 0.0000 0.0000
0.0000 6.0550 0.0000
0.0000 0.0000 6.0550
Sr Hg Ag
3 1 1
Direct
0.0000 0.5000 0.0000
0.0000 0.0000 0.5000
0.5000 0.0000 0.0000
0.0000 0.0000 0.0000
0.5000 0.5000 0.5000
```

Results
SG   Pm-3m
DFT formation energy   -0.0503 eV/atom
Crystal system   cubic

***

Entry 26:
Computed, not measured: a PBEsol-optimized structure of HfTlRu2Cl at the SCAN level of DFT.

```
HfTlRu2Cl
1.0
-4.5740 0.1972 -1.8012
1.5061 -2.3055 -4.0769
-1.0040 -4.3267 2.0759
Ru Tl Hf Cl
2 1 1 1
Direct
0.0000 0.5000 0.0000
0.5000 0.0000 0.0000
0.0000 0.0000 0.0000
0.5000 0.5000 0.5000
0.0000 0.0000 0.5000
```

Results
E_form (uncorrected)   1.83 eV/atom
SG   P4/mmm
Crystal system   tetragonal

***

Number 1: raw total energy -35.060 eV/atom. Number 2: raw total energy -43.735 eV/atom. Number 3: raw total energy -28.545 eV/atom. Number 4: raw total energy -10.193 eV/atom. Number 5: raw total energy -33.677 eV/atom. Number 6: raw total energy -71.087 eV/atom. Number 7: raw total energy -14.216 eV/atom. Number 8: raw total energy -33.951 eV/atom. Number 9: raw total energy -28.944 eV/atom. Number 10: raw total energy -34.531 eV/atom. Number 11: raw total energy -19.937 eV/atom. Number 12: raw total energy -22.257 eV/atom. Number 13: raw total energy -26.037 eV/atom. Number 14: raw total energy -57.784 eV/atom. Number 15: raw total energy -39.349 eV/atom. Number 16: raw total energy -55.729 eV/atom. Number 17: raw total energy -48.521 eV/atom. Number 18: raw total energy -14.664 eV/atom. Number 19: raw total energy -16.726 eV/atom. Number 20: raw total energy -36.844 eV/atom. Number 21: raw total energy -47.399 eV/atom. Number 22: raw total energy -14.422 eV/atom. Number 23: raw total energy -13.570 eV/atom. Number 24: raw total energy -23.227 eV/atom. Number 25: raw total energy -33.322 eV/atom. Number 26: raw total energy -40.703 eV/atom.